Model A:
Material: Ca2SiAsPt
Method: DFT, GGA-PBE
State: relaxed

Cell lengths 5.474, 4.628, 5.474 Å; angles 90.00, 90.00, 90.00 degrees
Element x y z (fractional)
As1 0.000 0.000 0.000
Ca1 0.000 0.000 0.500
Pt1 0.000 0.500 0.000
Ca2 0.500 0.000 0.000
Si1 0.500 0.500 0.500

Properties
Size of the total moment in μB per atom: 0.00
Volume in Å³/f.u.: 138.70
Space group: No. 123
Density in g cm⁻³: 4.5
Fermi-level density of states in states/eV per cell: 4.15

***

Model B:
Material: Ca2SiAsPt
Method: DFT, GGA-PBE
State: relaxed

Cell lengths 5.570, 4.384, 5.570 Å; angles 90.00, 90.00, 90.00 degrees
Element x y z (fractional)
Ca1 0.500 0.000 0.000
Pt1 0.000 0.500 0.000
Si1 0.000 0.000 0.000
Ca2 0.000 0.000 0.500
As1 0.500 0.500 0.500

Properties
Size of the total moment in μB per atom: 0.00
Volume in Å³/f.u.: 136.04
Space group: No. 123
Density in g cm⁻³: 4.6
Fermi-level density of states in states/eV per cell: 4.62

***

Of them, model B has the highest stability.

***

Model A:
Material: CaPuAs2
Method: DFT, GGA-PBE
State: relaxed

Cell lengths 4.173, 4.173, 7.395 Å; angles 73.61, 73.61, 60.00 degrees
Element x y z (fractional)
Pu1 0.669 0.669 0.994
As1 0.258 0.258 0.225
As2 0.076 0.076 0.771
Ca1 0.497 0.497 0.509

Properties
Size of the total moment in μB per atom: 1.02
Volume in Å³/f.u.: 105.44
Space group: No. 160
Density in g cm⁻³: 6.8
Fermi-level density of states in states/eV per cell: 12.49

***

Model B:
Material: CaPuAs2
Method: DFT, GGA-PBE
State: relaxed

Cell lengths 3.144, 5.388, 5.388 Å; angles 90.00, 90.00, 90.00 degrees
Element x y z (fractional)
Pu1 0.500 0.000 0.000
Ca1 0.500 0.500 0.500
As1 0.000 0.000 0.500
As2 0.000 0.500 0.000

Properties
Size of the total moment in μB per atom: 1.35
Volume in Å³/f.u.: 91.27
Space group: No. 123
Density in g cm⁻³: 7.9
Fermi-level density of states in states/eV per cell: 9.41

***

Of them, model A has the highest stability.

***

Model A:
Material: RbCaAs2Se
Method: DFT, GGA-PBE
State: relaxed

Cell lengths 5.561, 5.561, 5.577 Å; angles 90.00, 90.00, 90.00 degrees
Element x y z (fractional)
Se1 0.000 0.000 0.500
As1 0.000 0.500 0.000
As2 0.500 0.000 0.000
Rb1 0.500 0.500 0.500
Ca1 0.000 0.000 0.000

Properties
Size of the total moment in μB per atom: 0.15
Volume in Å³/f.u.: 172.43
Space group: No. 123
Density in g cm⁻³: 3.4
Fermi-level density of states in states/eV per cell: 4.87

***

Model B:
Material: RbCaAs2Se
Method: DFT, GGA-PBE
State: relaxed

Cell lengths 5.517, 5.517, 5.784 Å; angles 90.00, 90.00, 90.00 degrees
Element x y z (fractional)
Ca1 0.500 0.500 0.500
As1 0.000 0.500 0.000
Rb1 0.000 0.000 0.000
Se1 0.000 0.000 0.500
As2 0.500 0.000 0.000

Properties
Size of the total moment in μB per atom: 0.00
Volume in Å³/f.u.: 176.05
Space group: No. 123
Density in g cm⁻³: 3.3
Fermi-level density of states in states/eV per cell: 6.05

***

Of them, model A has the highest stability.

***

Model A:
Material: Ca3ReAs
Method: DFT, GGA-PBE
State: relaxed

Cell lengths 5.509, 5.509, 5.509 Å; angles 90.00, 90.00, 90.00 degrees
Element x y z (fractional)
Re1 0.500 0.500 0.500
Ca1 0.000 0.000 0.500
Ca2 0.000 0.500 0.000
Ca3 0.500 0.000 0.000
As1 0.000 0.000 0.000

Properties
Size of the total moment in μB per atom: 0.79
Volume in Å³/f.u.: 167.16
Space group: No. 221
Density in g cm⁻³: 3.8
Fermi-level density of states in states/eV per cell: 4.83

***

Model B:
Material: Ca3ReAs
Method: DFT, GGA-PBE
State: relaxed

Cell lengths 5.351, 5.351, 5.351 Å; angles 90.00, 90.00, 90.00 degrees
Element x y z (fractional)
Ca1 0.000 0.500 0.000
Re1 0.000 0.000 0.000
Ca2 0.000 0.000 0.500
As1 0.500 0.500 0.500
Ca3 0.500 0.000 0.000

Properties
Size of the total moment in μB per atom: 0.00
Volume in Å³/f.u.: 153.26
Space group: No. 221
Density in g cm⁻³: 4.1
Fermi-level density of states in states/eV per cell: 7.58

***

Of them, model A has the highest stability.

***

Model A:
Material: Ca3As4Rh4
Method: DFT, GGA-PBE
State: relaxed

Cell lengths 6.620, 6.620, 6.620 Å; angles 109.47, 109.47, 109.47 degrees
Element x y z (fractional)
As1 0.000 0.638 0.000
Ca1 0.500 0.500 0.000
As2 0.638 0.000 0.000
Ca2 0.500 0.000 0.500
Ca3 0.000 0.500 0.500
Rh1 0.000 0.000 0.284
As3 0.362 0.362 0.362
As4 0.000 0.000 0.638
Rh2 0.000 0.284 0.000
Rh3 0.716 0.716 0.716
Rh4 0.284 0.000 0.000

Properties
Size of the total moment in μB per atom: 0.00
Volume in Å³/f.u.: 223.36
Space group: No. 217
Density in g cm⁻³: 6.2
Fermi-level density of states in states/eV per cell: 9.90

***

Model B:
Material: Ca3As4Rh4
Method: DFT, GGA-PBE
State: relaxed

Cell lengths 4.132, 7.187, 7.958 Å; angles 116.84, 105.05, 90.00 degrees
Element x y z (fractional)
Rh1 0.324 0.522 0.648
As1 0.500 0.196 0.000
Ca1 0.000 0.500 0.000
Rh2 0.324 0.126 0.648
Ca2 0.121 0.121 0.243
As2 0.223 0.723 0.445
As3 0.500 0.804 0.000
Rh3 0.676 0.874 0.352
Ca3 0.879 0.879 0.757
Rh4 0.676 0.478 0.352
As4 0.777 0.277 0.555

Properties
Size of the total moment in μB per atom: 0.00
Volume in Å³/f.u.: 201.77
Space group: No. 71
Density in g cm⁻³: 6.8
Fermi-level density of states in states/eV per cell: 7.54

***

Of them, model B has the highest stability.

***

Model A:
Material: CaAsRhSe2
Method: DFT, GGA-PBE
State: relaxed

Cell lengths 5.290, 5.290, 5.314 Å; angles 90.00, 90.00, 90.00 degrees
Element x y z (fractional)
Rh1 0.500 0.500 0.500
Se1 0.000 0.500 0.000
Se2 0.500 0.000 0.000
Ca1 0.000 0.000 0.000
As1 0.000 0.000 0.500

Properties
Size of the total moment in μB per atom: 0.28
Volume in Å³/f.u.: 148.69
Space group: No. 123
Density in g cm⁻³: 4.2
Fermi-level density of states in states/eV per cell: 7.38

***

Model B:
Material: CaAsRhSe2
Method: DFT, GGA-PBE
State: relaxed

Cell lengths 5.207, 5.207, 4.514 Å; angles 90.00, 90.00, 90.00 degrees
Element x y z (fractional)
Rh1 0.000 0.000 0.000
Se1 0.500 0.000 0.000
Se2 0.000 0.500 0.000
Ca1 0.500 0.500 0.500
As1 0.000 0.000 0.500

Properties
Size of the total moment in μB per atom: 0.00
Volume in Å³/f.u.: 122.36
Space group: No. 123
Density in g cm⁻³: 5.1
Fermi-level density of states in states/eV per cell: 2.39

***

Of them, model B has the highest stability.